Below is NpPaMnGa after structural relaxation, with properties calculated at the PBE-GGA level.

Cell lengths 4.726, 4.726, 4.726 Å; angles 60.00, 60.00, 60.00 degrees
Fractional coordinates of all 4 atoms:
Pa 0.750 0.750 0.750
Np 0.000 0.000 0.000
Mn 0.500 0.500 0.500
Ga 0.250 0.250 0.250

Calculated values
ρ = 13.19 g/cm3
ΔE_f = 0.036 eV/atom